This record from Alexandria via LeMat-Bulk describes crystalline SiHg4Se at its relaxed geometry. The functional is PBE-GGA.

Values from the calculation:
Space-group type ... F-43m (216)
Calculated volume ... 148.3 Å³/f.u.
Energy relative to the elements, uncorrected ... 0.572 eV per atom
M_tot ... 0.00 μB/f.u.
DOS at the Fermi energy ... 0.88 states/eV per atom
Crystal system ... cubic

a = 5.942 Å, b = 5.942 Å, c = 5.942 Å
α = 60.00°, β = 60.00°, γ = 60.00°
Element x y z (fractional)
Hg (0.375, 0.875, 0.375)
Hg (0.375, 0.375, 0.875)
Hg (0.875, 0.375, 0.375)
Se (0.750, 0.750, 0.750)
Hg (0.375, 0.375, 0.375)
Si (0.000, 0.000, 0.000)